Density functional theory data (GGA-PBE) for a relaxed structure of RbLi2InBr6.

The calculation puts the volume at 339 Å³ per cell. The value obtained for the density of states at the Fermi level is 0.00 states/eV/cell. Its uncorrected formation energy is -1.305 eV per atom. The total magnetization comes out at 0.0 μB/f.u.

It has space group P-1 (No. 2), with a = 6.875 Å, b = 6.876 Å, c = 9.187 Å, α = 68.08°, β = 68.12° and γ = 60.02°. Symmetry generates all atoms from Rb at (0.000, 0.000, 0.000), Li at (0.170, 0.169, 0.492), In at (0.500, 0.500, 0.500), Br at (0.110, 0.764, 0.685), Br at (0.236, 0.559, 0.315) and Br at (0.441, 0.110, 0.685).



Density functional theory data (GGA-PBE) for a relaxed structure of RbLiInBr3.

The calculation puts the volume at 461 Å³ per cell. The value obtained for the density of states at the Fermi level is 0.00 states/eV/cell. Its uncorrected formation energy is -1.303 eV per atom. The total magnetization comes out at 0.0 μB/f.u.

It has space group P2_1/m (No. 11), with a = 10.119 Å, b = 4.491 Å, c = 10.209 Å, α = 90.00°, β = 96.28° and γ = 90.00°. Symmetry generates all atoms from Rb at (0.192, 0.250, 0.153), Li at (0.408, 0.750, 0.908), In at (0.171, 0.250, 0.632), Br at (0.131, 0.750, 0.395), Br at (0.159, 0.750, 0.882) and Br at (0.485, 0.750, 0.157).



Density functional theory data (GGA-PBE) for a relaxed structure of Li2InSbBr6.

The calculation puts the volume at 1003 Å³ per cell. The value obtained for the density of states at the Fermi level is 0.00 states/eV/cell. Its uncorrected formation energy is -0.988 eV per atom. The total magnetization comes out at 0.0 μB/f.u.

It has space group R3 (No. 146, hexagonal axes), with a = 6.9979 Å, b = 6.9979 Å, c = 23.6396 Å, α = 90.00°, β = 90.00° and γ = 120.00°. Symmetry generates all atoms from Li at (0.0000, 0.0000, 0.0000), Li at (0.0000, 0.0000, 0.3393), In at (0.0000, 0.0000, 0.1700), Sb at (0.0000, 0.0000, 0.6699), Br at (0.9996, 0.3375, 0.6037) and Br at (0.9997, 0.6626, 0.7360).



Density functional theory data (GGA-PBE) for a relaxed structure of LiScIn2Br.

The calculation puts the volume at 128 Å³ per cell. The value obtained for the density of states at the Fermi level is 4.18 states/eV/cell. Its uncorrected formation energy is 0.022 eV per atom. The total magnetization comes out at 0.0 μB/f.u.

It has space group P4/mmm (No. 123), with a = 5.356 Å, b = 5.356 Å, c = 4.463 Å, α = 90.00°, β = 90.00° and γ = 90.00°. Symmetry generates all atoms from Li at (0.000, 0.000, 0.000), Sc at (0.500, 0.500, 0.500), In at (0.000, 0.500, 0.000) and Br at (0.000, 0.000, 0.500).



Density functional theory data (GGA-PBE) for a relaxed structure of LiInSe2Br.

The calculation puts the volume at 158 Å³ per cell. Its distance to the lowest polymorph of the same formula is 0 meV per atom. The value obtained for the density of states at the Fermi level is 5.22 states/eV/cell. Its uncorrected formation energy is -0.265 eV per atom. The total magnetization comes out at 0.4 μB/f.u.

It has space group P4/mmm (No. 123), with a = 5.261 Å, b = 5.261 Å, c = 5.715 Å, α = 90.00°, β = 90.00° and γ = 90.00°. Symmetry generates all atoms from Li at (0.000, 0.000, 0.000), In at (0.500, 0.500, 0.500), Se at (0.000, 0.500, 0.500) and Br at (0.500, 0.500, 0.000).



Density functional theory data (GGA-PBE) for a relaxed structure of LiInSe2Br.

The calculation puts the volume at 137 Å³ per cell. Its distance to the lowest polymorph of the same formula is 102 meV per atom. The value obtained for the density of states at the Fermi level is 4.21 states/eV/cell. Its uncorrected formation energy is -0.163 eV per atom. The total magnetization comes out at 0.0 μB/f.u.

It has space group P4/mmm (No. 123), with a = 4.543 Å, b = 4.543 Å, c = 6.663 Å, α = 90.00°, β = 90.00° and γ = 90.00°. Symmetry generates all atoms from Li at (0.000, 0.000, 0.000), In at (0.500, 0.500, 0.500), Se at (0.000, 0.500, 0.000) and Br at (0.000, 0.000, 0.500).



Density functional theory data (GGA-PBE) for a relaxed structure of LiInSnBr2.

The calculation puts the volume at 141 Å³ per cell. The value obtained for the density of states at the Fermi level is 2.25 states/eV/cell. Its uncorrected formation energy is -0.371 eV per atom. The total magnetization comes out at 0.0 μB/f.u.

It has space group P4/mmm (No. 123), with a = 4.891 Å, b = 4.891 Å, c = 5.915 Å, α = 90.00°, β = 90.00° and γ = 90.00°. Symmetry generates all atoms from Li at (0.000, 0.000, 0.000), In at (0.000, 0.000, 0.500), Sn at (0.500, 0.500, 0.500) and Br at (0.000, 0.500, 0.000).



Density functional theory data (GGA-PBE) for a relaxed structure of LiInSnBr4.

The calculation puts the volume at 466 Å³ per cell. The value obtained for the density of states at the Fermi level is 0.00 states/eV/cell. Its uncorrected formation energy is -0.923 eV per atom. The total magnetization comes out at 0.0 μB/f.u.

It has space group P2_1/m (No. 11), with a = 7.181 Å, b = 7.697 Å, c = 8.833 Å, α = 90.00°, β = 107.43° and γ = 90.00°. Symmetry generates all atoms from Li at (0.244, 0.250, 0.317), In at (0.226, 0.750, 0.054), Sn at (0.213, 0.750, 0.547), Br at (0.005, 0.000, 0.273), Br at (0.472, 0.250, 0.152) and Br at (0.473, 0.250, 0.594).



Density functional theory data (GGA-PBE) for a relaxed structure of LiIn2SnBr5.

The calculation puts the volume at 1201 Å³ per cell. The value obtained for the density of states at the Fermi level is 0.00 states/eV/cell. Its uncorrected formation energy is -0.888 eV per atom. The total magnetization comes out at 0.0 μB/f.u.

It has space group Cmc2_1 (No. 36), with a = 4.392 Å, b = 19.133 Å, c = 14.289 Å, α = 90.00°, β = 90.00° and γ = 90.00°. Symmetry generates all atoms from Li at (0.000, 0.054, 0.000), In at (0.000, 0.371, 0.890), In at (0.000, 0.410, 0.234), Sn at (0.000, 0.295, 0.598), Br at (0.000, 0.007, 0.344), Br at (0.000, 0.143, 0.569), Br at (0.000, 0.186, 0.955), Br at (0.000, 0.216, 0.243) and Br at (0.000, 0.458, 0.593).



Density functional theory data (GGA-PBE) for a relaxed structure of SrLi2InBr8.

The calculation puts the volume at 375 Å³ per cell. The value obtained for the density of states at the Fermi level is 12.61 states/eV/cell. Its uncorrected formation energy is -1.144 eV per atom. The total magnetization comes out at 1.1 μB/f.u.

It has space group P-3 (No. 147), with a = 7.0993 Å, b = 7.0993 Å, c = 8.5953 Å, α = 90.00°, β = 90.00° and γ = 120.00°. Symmetry generates all atoms from Sr at (0.0000, 0.0000, 0.0000), Li at (0.3333, 0.6667, 0.7138), In at (0.0000, 0.0000, 0.5000), Br at (0.0109, 0.7076, 0.3037) and Br at (0.3333, 0.6667, 0.0027).



Density functional theory data (GGA-PBE) for a relaxed structure of SrLiIn2Br5.

The calculation puts the volume at 1231 Å³ per cell. The value obtained for the density of states at the Fermi level is 0.00 states/eV/cell. Its uncorrected formation energy is -1.332 eV per atom. The total magnetization comes out at 0.0 μB/f.u.

It has space group Cmc2_1 (No. 36), with a = 4.493 Å, b = 19.140 Å, c = 14.319 Å, α = 90.00°, β = 90.00° and γ = 90.00°. Symmetry generates all atoms from Sr at (0.000, 0.204, 0.000), Li at (0.000, 0.448, 0.395), In at (0.000, 0.091, 0.634), In at (0.000, 0.125, 0.299), Br at (0.000, 0.042, 0.985), Br at (0.000, 0.286, 0.644), Br at (0.000, 0.314, 0.356), Br at (0.000, 0.361, 0.972) and Br at (0.000, 0.492, 0.739).



Density functional theory data (GGA-PBE) for a relaxed structure of Sr2LiInBr6.

The calculation puts the volume at 1071 Å³ per cell. The value obtained for the density of states at the Fermi level is 0.00 states/eV/cell. Its uncorrected formation energy is -1.677 eV per atom. The total magnetization comes out at 0.0 μB/f.u.

It has space group R3 (No. 146, hexagonal axes), with a = 7.6966 Å, b = 7.6966 Å, c = 20.8801 Å, α = 90.00°, β = 90.00° and γ = 120.00°. Symmetry generates all atoms from Sr at (0.0000, 0.0000, 0.0000), Sr at (0.0000, 0.0000, 0.4885), Li at (0.0000, 0.0000, 0.6820), In at (0.0000, 0.0000, 0.1967), Br at (0.0071, 0.3534, 0.4182) and Br at (0.0234, 0.7261, 0.5939).